Record 1
First-principles (GGA-PBEsol) data for crystalline Tc2SeCl at its relaxed geometry, as listed in the Alexandria database.

POSCAR file:
```
Tc2SeCl
1.0
2.952 0.000 0.000
0.000 3.805 0.000
0.000 0.000 6.074
Tc Se Cl
2 1 1
Direct
0.000 0.000 0.000 Tc
0.500 0.500 0.193 Tc
0.500 0.500 0.804 Se
0.000 0.000 0.377 Cl
```

Computed properties:
Excess energy over the best structure of this formula in the dataset, meV/atom: 0.0

---

Record 2
First-principles (GGA-PBEsol) data for crystalline TeSeCl2 at its relaxed geometry, as listed in the Alexandria database.

POSCAR file:
```
TeSeCl2
1.0
6.175 0.000 0.000
0.000 6.254 0.000
0.000 0.000 4.703
Te Se Cl
2 2 4
Direct
0.000 0.000 0.000 Te
0.500 0.500 0.000 Te
0.000 0.500 0.000 Se
0.500 0.000 0.000 Se
0.000 0.240 0.500 Cl
0.000 0.760 0.500 Cl
0.500 0.260 0.500 Cl
0.500 0.740 0.500 Cl
```

Computed properties:
Excess energy over the best structure of this formula in the dataset, meV/atom: 293.5

---

Record 3
First-principles (GGA-PBEsol) data for crystalline TeSeCl2 at its relaxed geometry, as listed in the Alexandria database.

POSCAR file:
```
TeSeCl2
1.0
3.887 0.000 0.000
-1.943 3.366 0.000
0.000 0.000 24.238
Te Se Cl
3 3 6
Direct
0.000 0.000 0.000 Te
0.333 0.667 0.667 Te
0.667 0.333 0.333 Te
0.000 0.000 0.266 Se
0.333 0.667 0.933 Se
0.667 0.333 0.599 Se
0.000 0.000 0.531 Cl
0.000 0.000 0.741 Cl
0.333 0.667 0.198 Cl
0.333 0.667 0.408 Cl
0.667 0.333 0.075 Cl
0.667 0.333 0.864 Cl
```

Computed properties:
Excess energy over the best structure of this formula in the dataset, meV/atom: 0.0

---

Record 4
First-principles (GGA-PBEsol) data for crystalline TiSeCl2 at its relaxed geometry, as listed in the Alexandria database.

POSCAR file:
```
TiSeCl2
1.0
3.144 0.000 0.000
-1.572 2.723 0.000
0.000 0.000 33.806
Ti Se Cl
3 3 6
Direct
0.000 0.000 0.000 Ti
0.333 0.667 0.667 Ti
0.667 0.333 0.333 Ti
0.000 0.000 0.500 Se
0.333 0.667 0.167 Se
0.667 0.333 0.833 Se
0.000 0.000 0.064 Cl
0.000 0.000 0.936 Cl
0.333 0.667 0.603 Cl
0.333 0.667 0.731 Cl
0.667 0.333 0.269 Cl
0.667 0.333 0.397 Cl
```

---

Record 5
First-principles (GGA-PBEsol) data for crystalline Ti2SeCl at its relaxed geometry, as listed in the Alexandria database.

POSCAR file:
```
Ti2SeCl
1.0
4.617 0.000 0.000
0.000 4.617 0.000
0.000 0.000 14.516
Ti Se Cl
8 4 4
Direct
0.222 0.250 0.125 Ti
0.250 0.722 0.375 Ti
0.250 0.778 0.875 Ti
0.278 0.250 0.625 Ti
0.722 0.750 0.625 Ti
0.750 0.222 0.875 Ti
0.750 0.278 0.375 Ti
0.778 0.750 0.125 Ti
0.000 0.000 0.500 Se
0.000 0.500 0.750 Se
0.500 0.000 0.250 Se
0.500 0.500 0.000 Se
0.000 0.000 0.000 Cl
0.000 0.500 0.250 Cl
0.500 0.000 0.750 Cl
0.500 0.500 0.500 Cl
```

---

Record 6
First-principles (GGA-PBEsol) data for crystalline Tl2Se2Cl at its relaxed geometry, as listed in the Alexandria database.

POSCAR file:
```
Tl2Se2Cl
1.0
3.899 0.000 0.000
0.000 3.899 0.000
0.000 0.000 17.634
Tl Se Cl
4 4 2
Direct
0.000 0.000 0.099 Tl
0.000 0.000 0.901 Tl
0.500 0.500 0.401 Tl
0.500 0.500 0.599 Tl
0.000 0.500 0.250 Se
0.000 0.500 0.750 Se
0.500 0.000 0.250 Se
0.500 0.000 0.750 Se
0.000 0.000 0.500 Cl
0.500 0.500 0.000 Cl
```

---

Record 7
First-principles (GGA-PBEsol) data for crystalline TlSe2Cl at its relaxed geometry, as listed in the Alexandria database.

POSCAR file:
```
TlSe2Cl
1.0
3.100 0.000 0.000
0.000 3.100 0.000
0.000 0.000 9.048
Tl Se Cl
1 2 1
Direct
0.000 0.000 0.000 Tl
0.500 0.500 0.272 Se
0.500 0.500 0.728 Se
0.000 0.000 0.500 Cl
```

Computed properties:
Excess energy over the best structure of this formula in the dataset, meV/atom: 571.4

---

Record 8
First-principles (GGA-PBEsol) data for crystalline TlSe2Cl at its relaxed geometry, as listed in the Alexandria database.

POSCAR file:
```
TlSe2Cl
1.0
4.207 0.000 0.000
-2.103 3.643 0.000
0.000 0.000 23.423
Tl Se Cl
3 6 3
Direct
0.000 0.000 0.000 Tl
0.333 0.667 0.667 Tl
0.667 0.333 0.333 Tl
0.000 0.000 0.396 Se
0.000 0.000 0.604 Se
0.333 0.667 0.062 Se
0.333 0.667 0.271 Se
0.667 0.333 0.729 Se
0.667 0.333 0.938 Se
0.000 0.000 0.500 Cl
0.333 0.667 0.167 Cl
0.667 0.333 0.833 Cl
```

Computed properties:
Excess energy over the best structure of this formula in the dataset, meV/atom: 245.8

---

Record 9
First-principles (GGA-PBEsol) data for crystalline TlSe2Cl at its relaxed geometry, as listed in the Alexandria database.

POSCAR file:
```
TlSe2Cl
1.0
3.705 0.000 0.000
0.000 5.974 0.000
0.000 0.000 9.461
Tl Se Cl
2 4 2
Direct
0.000 0.000 0.000 Tl
0.500 0.500 0.500 Tl
0.000 0.000 0.538 Se
0.000 0.500 0.863 Se
0.500 0.000 0.363 Se
0.500 0.500 0.038 Se
0.000 0.500 0.252 Cl
0.500 0.000 0.752 Cl
```

Computed properties:
Excess energy over the best structure of this formula in the dataset, meV/atom: 0.0

---

Record 10
First-principles (GGA-PBEsol) data for crystalline TlSe2Cl at its relaxed geometry, as listed in the Alexandria database.

POSCAR file:
```
TlSe2Cl
1.0
3.919 0.000 0.000
0.000 3.919 0.000
0.000 0.000 6.571
Tl Se Cl
1 2 1
Direct
0.000 0.000 0.000 Tl
0.000 0.500 0.500 Se
0.500 0.000 0.500 Se
0.500 0.500 0.000 Cl
```

Computed properties:
Excess energy over the best structure of this formula in the dataset, meV/atom: 91.0

---

Record 11
First-principles (GGA-PBEsol) data for crystalline Tl5Se2Cl at its relaxed geometry, as listed in the Alexandria database.

POSCAR file:
```
Tl5Se2Cl
1.0
8.456 0.000 0.000
0.000 8.456 0.000
0.000 0.000 12.570
Tl Se Cl
20 8 4
Direct
0.088 0.617 0.101 Tl
0.088 0.883 0.601 Tl
0.117 0.588 0.399 Tl
0.117 0.912 0.899 Tl
0.250 0.250 0.205 Tl
0.250 0.250 0.705 Tl
0.383 0.588 0.899 Tl
0.383 0.912 0.399 Tl
0.412 0.617 0.601 Tl
0.412 0.883 0.101 Tl
0.588 0.117 0.899 Tl
0.588 0.383 0.399 Tl
0.617 0.088 0.601 Tl
0.617 0.412 0.101 Tl
0.750 0.750 0.295 Tl
0.750 0.750 0.795 Tl
0.883 0.088 0.101 Tl
0.883 0.412 0.601 Tl
0.912 0.117 0.399 Tl
0.912 0.383 0.899 Tl
0.093 0.593 0.750 Se
0.093 0.907 0.250 Se
0.407 0.593 0.250 Se
0.407 0.907 0.750 Se
0.593 0.093 0.250 Se
0.593 0.407 0.750 Se
0.907 0.093 0.750 Se
0.907 0.407 0.250 Se
0.250 0.250 0.454 Cl
0.250 0.250 0.954 Cl
0.750 0.750 0.046 Cl
0.750 0.750 0.546 Cl
```

---

Record 12
First-principles (GGA-PBEsol) data for crystalline Y2SeCl at its relaxed geometry, as listed in the Alexandria database.

POSCAR file:
```
Y2SeCl
1.0
3.777 0.000 0.000
0.000 5.554 0.000
0.000 0.000 4.173
Y Se Cl
2 1 1
Direct
0.000 0.000 0.000 Y
0.500 0.500 0.433 Y
0.500 0.000 0.498 Se
0.000 0.500 0.935 Cl
```

---

Record 13
First-principles (GGA-PBEsol) data for crystalline Y2Se2Cl at its relaxed geometry, as listed in the Alexandria database.

POSCAR file:
```
Y2Se2Cl
1.0
7.670 0.000 0.000
0.000 7.670 0.000
0.000 0.000 3.743
Y Se Cl
4 4 2
Direct
0.155 0.345 0.000 Y
0.345 0.845 0.000 Y
0.655 0.155 0.000 Y
0.845 0.655 0.000 Y
0.143 0.643 0.500 Se
0.357 0.143 0.500 Se
0.643 0.857 0.500 Se
0.857 0.357 0.500 Se
0.000 0.000 0.000 Cl
0.500 0.500 0.000 Cl
```

Computed properties:
Excess energy over the best structure of this formula in the dataset, meV/atom: 0.0

---

Number 1: ΔE_f (raw) 0.44 eV per formula unit. Number 2: ΔE_f (raw) 0.26 eV per formula unit. Number 3: ΔE_f (raw) -0.91 eV per formula unit. Number 4: ΔE_f (raw) -0.97 eV per formula unit. Number 5: ΔE_f (raw) -2.01 eV per formula unit. Number 6: ΔE_f (raw) -2.27 eV per formula unit. Number 7: ΔE_f (raw) 1.15 eV per formula unit. Number 8: ΔE_f (raw) -0.16 eV per formula unit. Number 9: ΔE_f (raw) -1.14 eV per formula unit. Number 10: ΔE_f (raw) -0.78 eV per formula unit. Number 11: ΔE_f (raw) -3.81 eV per formula unit. Number 12: ΔE_f (raw) -6.06 eV per formula unit. Number 13: ΔE_f (raw) -9.76 eV per formula unit.